Record 1
{"formula": "Mn2CuOs", "functional": "PBE", "state": "optimized geometry", "lattice": [[2.675, 0.000, 0.000], [0.000, 2.675, 0.000], [0.000, 0.000, 7.114]], "species": ["Mn", "Mn", "Cu", "Os"], "frac_coords": [[0.000, 0.000, 0.000], [0.500, 0.500, 0.241], [0.500, 0.500, 0.748], [0.000, 0.000, 0.478]], "mass_density_g_cm3": 11.861, "e_form_ev_per_atom": 0.200, "vol_a3_per_cell": 51, "final_energy_ev_per_atom": -8.216}



Record 2
{"formula": "Ce2Fe12Ge7", "functional": "PBE", "state": "optimized geometry", "lattice": [[9.325, 0.000, 0.000], [-4.663, 8.076, 0.000], [0.000, 0.000, 3.996]], "species": ["Ce", "Ce", "Fe", "Fe", "Fe", "Fe", "Fe", "Fe", "Fe", "Fe", "Fe", "Fe", "Fe", "Fe", "Ge", "Ge", "Ge", "Ge", "Ge", "Ge", "Ge"], "frac_coords": [[0.000, 0.000, 0.000], [0.333, 0.667, 0.500], [0.028, 0.297, 0.500], [0.134, 0.778, 0.000], [0.222, 0.357, 0.000], [0.269, 0.972, 0.500], [0.371, 0.175, 0.000], [0.562, 0.419, 0.500], [0.581, 0.143, 0.500], [0.643, 0.866, 0.000], [0.703, 0.731, 0.500], [0.804, 0.629, 0.000], [0.825, 0.196, 0.000], [0.857, 0.438, 0.500], [0.051, 0.483, 0.000], [0.257, 0.233, 0.500], [0.432, 0.949, 0.000], [0.517, 0.568, 0.000], [0.667, 0.333, 0.000], [0.767, 0.024, 0.500], [0.976, 0.743, 0.500]], "mass_density_g_cm3": 8.049, "e_form_ev_per_atom": -0.216, "vol_a3_per_cell": 301, "final_energy_ev_per_atom": -7.156}



Record 3
{"formula": "Na12GaSb7", "functional": "PBE", "state": "optimized geometry", "lattice": [[6.390, 3.689, 4.460], [-6.390, 3.689, 4.460], [0.000, -7.378, 4.460]], "species": ["Na", "Na", "Na", "Na", "Na", "Na", "Na", "Na", "Na", "Na", "Na", "Na", "Ga", "Sb", "Sb", "Sb", "Sb", "Sb", "Sb", "Sb"], "frac_coords": [[0.061, 0.345, 0.101], [0.101, 0.061, 0.345], [0.233, 0.719, 0.337], [0.281, 0.663, 0.767], [0.337, 0.233, 0.719], [0.345, 0.101, 0.061], [0.655, 0.899, 0.939], [0.663, 0.767, 0.281], [0.719, 0.337, 0.233], [0.767, 0.281, 0.663], [0.899, 0.939, 0.655], [0.939, 0.655, 0.899], [0.500, 0.500, 0.500], [0.000, 0.000, 0.000], [0.124, 0.398, 0.485], [0.398, 0.485, 0.124], [0.485, 0.124, 0.398], [0.515, 0.876, 0.602], [0.602, 0.515, 0.876], [0.876, 0.602, 0.515]], "mass_density_g_cm3": 3.154, "vol_a3_per_cell": 631, "final_energy_ev_per_atom": -2.596}



Record 4
{"formula": "Ac3Er2Tl7", "functional": "PBE", "state": "optimized geometry", "lattice": [[2.844, -11.956, 0.000], [2.844, 11.956, 0.000], [0.000, 0.000, 5.947]], "species": ["Ac", "Ac", "Ac", "Er", "Er", "Tl", "Tl", "Tl", "Tl", "Tl", "Tl", "Tl"], "frac_coords": [[0.000, 0.000, 0.000], [0.173, 0.827, 0.000], [0.827, 0.173, 0.000], [0.363, 0.637, 0.500], [0.637, 0.363, 0.500], [0.081, 0.919, 0.500], [0.233, 0.767, 0.500], [0.410, 0.590, 0.000], [0.500, 0.500, 0.500], [0.590, 0.410, 0.000], [0.767, 0.233, 0.500], [0.919, 0.081, 0.500]], "mass_density_g_cm3": 10.045, "e_form_ev_per_atom": -0.146, "vol_a3_per_cell": 404, "final_energy_ev_per_atom": -3.314}



Question: What is the formula in the third record?
Answer: Na12GaSb7



What did the second record say?
{"formula": "Ce2Fe12Ge7", "functional": "PBE", "state": "optimized geometry", "lattice": [[9.325, 0.000, 0.000], [-4.663, 8.076, 0.000], [0.000, 0.000, 3.996]], "species": ["Ce", "Ce", "Fe", "Fe", "Fe", "Fe", "Fe", "Fe", "Fe", "Fe", "Fe", "Fe", "Fe", "Fe", "Ge", "Ge", "Ge", "Ge", "Ge", "Ge", "Ge"], "frac_coords": [[0.000, 0.000, 0.000], [0.333, 0.667, 0.500], [0.028, 0.297, 0.500], [0.134, 0.778, 0.000], [0.222, 0.357, 0.000], [0.269, 0.972, 0.500], [0.371, 0.175, 0.000], [0.562, 0.419, 0.500], [0.581, 0.143, 0.500], [0.643, 0.866, 0.000], [0.703, 0.731, 0.500], [0.804, 0.629, 0.000], [0.825, 0.196, 0.000], [0.857, 0.438, 0.500], [0.051, 0.483, 0.000], [0.257, 0.233, 0.500], [0.432, 0.949, 0.000], [0.517, 0.568, 0.000], [0.667, 0.333, 0.000], [0.767, 0.024, 0.500], [0.976, 0.743, 0.500]], "mass_density_g_cm3": 8.049, "e_form_ev_per_atom": -0.216, "vol_a3_per_cell": 301, "final_energy_ev_per_atom": -7.156}